No. 1
A relaxed HfTi2Ni2 crystal. Source: the Alexandria database, functional PBE.

Cell and atoms, written as POSCAR:
```
HfTi2Ni2
1.0
-1.700 3.745 0.223
-1.048 -0.228 -4.156
-7.793 -3.723 3.104
Hf Ti Ni
2 4 4
Direct
0.250 0.699 0.247
0.750 0.301 0.753
0.250 0.837 0.885
0.750 0.163 0.115
0.250 0.251 0.502
0.750 0.749 0.498
0.250 0.779 0.632
0.750 0.221 0.368
0.250 0.348 0.991
0.750 0.652 0.009
```

Properties
E above lowest polymorph (meV per atom): 30
Final energy (eV/atom): -7.730
DOS(E_F) (states/eV/f.u.): 4.6

No. 2
A relaxed Hf2TiNi6 crystal. Source: the Alexandria database, functional PBE.

Cell and atoms, written as POSCAR:
```
Hf2TiNi6
1.0
5.434 0.000 0.000
0.000 4.443 -2.565
0.000 0.000 5.130
Hf Ti Ni
2 1 6
Direct
0.345 0.667 0.333
0.655 0.333 0.667
0.500 0.000 0.000
0.827 0.824 0.648
0.827 0.824 0.176
0.173 0.648 0.824
0.827 0.352 0.176
0.173 0.176 0.824
0.173 0.176 0.352
```

Properties
E above lowest polymorph (meV per atom): 0
Final energy (eV/atom): -7.352
DOS(E_F) (states/eV/f.u.): 5.4

No. 3
A relaxed Hf2TiNi crystal. Source: the Alexandria database, functional PBE.

Cell and atoms, written as POSCAR:
```
Hf2TiNi
1.0
3.114 -0.002 0.000
-1.560 5.383 0.000
0.000 0.000 8.688
Hf Ti Ni
4 2 2
Direct
0.369 0.738 0.552
0.631 0.262 0.448
0.369 0.738 0.948
0.631 0.262 0.052
0.929 0.857 0.250
0.071 0.143 0.750
0.758 0.518 0.750
0.242 0.482 0.250
```

Properties
E above lowest polymorph (meV per atom): 13
Final energy (eV/atom): -8.586
DOS(E_F) (states/eV/f.u.): 4.9

No. 4
A relaxed Hf3Ti12Ni5 crystal. Source: the Alexandria database, functional PBE.

Cell and atoms, written as POSCAR:
```
Hf3Ti12Ni5
1.0
12.706 0.000 0.000
-4.235 11.979 0.000
-4.235 -5.990 10.374
Hf Ni Ti
12 20 48
Direct
0.750 0.375 0.125
0.875 0.750 0.125
0.375 0.750 0.625
0.250 0.125 0.375
0.875 0.125 0.250
0.375 0.625 0.250
0.625 0.375 0.750
0.125 0.875 0.750
0.750 0.875 0.625
0.625 0.250 0.375
0.125 0.250 0.875
0.250 0.625 0.875
0.125 0.375 0.250
0.000 0.500 0.000
0.000 0.000 0.000
0.375 0.250 0.125
0.500 0.000 0.500
0.500 0.500 0.000
0.125 0.750 0.375
0.750 0.125 0.875
0.750 0.625 0.375
0.375 0.125 0.750
0.625 0.875 0.250
0.500 0.500 0.500
0.500 0.000 0.000
0.000 0.000 0.500
0.250 0.375 0.625
0.250 0.875 0.125
0.000 0.500 0.500
0.875 0.250 0.625
0.625 0.750 0.875
0.875 0.625 0.750
0.711 0.111 0.037
0.326 0.537 0.427
0.963 0.389 0.289
0.537 0.211 0.111
0.600 0.711 0.674
0.963 0.573 0.174
0.326 0.789 0.400
0.073 0.900 0.111
0.573 0.963 0.674
0.711 0.600 0.174
0.789 0.463 0.389
0.826 0.927 0.037
0.111 0.711 0.537
0.389 0.427 0.100
0.100 0.927 0.389
0.400 0.111 0.573
0.100 0.174 0.211
0.463 0.674 0.073
0.826 0.900 0.289
0.111 0.400 0.073
0.389 0.963 0.789
0.573 0.611 0.400
0.927 0.826 0.537
0.789 0.326 0.900
0.427 0.389 0.600
0.073 0.174 0.463
0.211 0.674 0.100
0.174 0.100 0.711
0.611 0.037 0.211
0.889 0.600 0.927
0.537 0.326 0.927
0.600 0.889 0.427
0.900 0.826 0.789
0.900 0.073 0.611
0.889 0.289 0.463
0.174 0.073 0.963
0.611 0.573 0.900
0.427 0.037 0.326
0.289 0.400 0.826
0.211 0.537 0.611
0.927 0.100 0.889
0.674 0.211 0.600
0.463 0.789 0.889
0.037 0.427 0.826
0.400 0.289 0.326
0.037 0.611 0.711
0.674 0.463 0.573
0.289 0.889 0.963
```

Properties
Final energy (eV/atom): -7.016
DOS(E_F) (states/eV/f.u.): 33.3

The formation energy results, record by record, are as follows: -26; -39; -18; 64 kJ/mol of atoms.
The calculated volume results, record by record, are as follows: 161.5; 123.8; 145.6; 1579.1 Å³/cell.